! Sr3SiCl, optimized geometry, DFT PBE-GGA; values from VASP
! Formation energy without anion corrections, eV/atom: -0.54
! SG: Pm-3m (221)
! Relative energy among the computed polymorphs, eV/f.u.: 0.000
! Energy, eV/cell: -15.032
! Size of the total moment, μB per atom: 0.000
&SYSTEM
  ibrav = 0, nat = 5, ntyp = 3
/
ATOMIC_SPECIES
Sr 87.62 Sr.upf
Si 28.09 Si.upf
Cl 35.45 Cl.upf
CELL_PARAMETERS angstrom
6.080 0.000 0.000
0.000 6.080 0.000
0.000 0.000 6.080
ATOMIC_POSITIONS crystal
Sr 0.500 0.000 0.000
Sr 0.000 0.500 0.000
Sr 0.000 0.000 0.500
Si 0.000 0.000 0.000
Cl 0.500 0.500 0.500